DFT (PBE-GGA) results for ZrMn2Cd2 after structural relaxation.

abc: 7.949 7.949 2.989
angles: 90.00 90.00 90.00
Sites, in units of the cell vectors:
Zr1 0.000 0.000 0.000
Zr2 0.500 0.500 0.000
Mn1 0.123 0.377 0.000
Mn2 0.377 0.877 0.000
Mn3 0.623 0.123 0.000
Mn4 0.877 0.623 0.000
Cd1 0.173 0.673 0.500
Cd2 0.327 0.173 0.500
Cd3 0.673 0.827 0.500
Cd4 0.827 0.327 0.500

Distance to the lowest polymorph of the same formula: 0 meV/atom
Total DFT energy (no corrections): -5.46 eV/atom
Crystal system: tetragonal
D(E_F): 10.3 states/eV per cell
Calculated formation energy: 0.28 eV per atom

=====

DFT (PBE-GGA) results for Ag10PtAu6 after structural relaxation.

abc: 7.990 7.990 5.692
angles: 90.00 90.00 120.00
Sites, in units of the cell vectors:
Ag1 0.000 0.315 0.344
Ag2 0.000 0.685 0.656
Ag3 0.315 0.000 0.344
Ag4 0.315 0.315 0.656
Ag5 0.333 0.667 0.000
Ag6 0.333 0.667 0.500
Ag7 0.667 0.333 0.000
Ag8 0.667 0.333 0.500
Ag9 0.685 0.000 0.656
Ag10 0.685 0.685 0.344
Pt1 0.000 0.000 0.000
Au1 0.000 0.336 0.841
Au2 0.000 0.664 0.159
Au3 0.336 0.000 0.841
Au4 0.336 0.336 0.159
Au5 0.664 0.000 0.159
Au6 0.664 0.664 0.841

Total DFT energy (no corrections): -3.14 eV/atom
Crystal system: trigonal
D(E_F): 6.0 states/eV per cell
Calculated formation energy: 0.05 eV per atom

=====

DFT (PBE-GGA) results for GeMoRh2 after structural relaxation.

abc: 2.827 2.827 7.287
angles: 90.00 90.00 90.00
Sites, in units of the cell vectors:
Ge1 0.000 0.000 0.000
Mo1 0.000 0.000 0.500
Rh1 0.500 0.500 0.232
Rh2 0.500 0.500 0.768

Total DFT energy (no corrections): -7.79 eV/atom
Crystal system: tetragonal
D(E_F): 2.6 states/eV per cell
Calculated formation energy: -0.26 eV per atom

=====

The lowest total DFT energy (no corrections) belongs to which entry?
GeMoRh2

=====

Which of these has the highest D(E_F)?
ZrMn2Cd2

=====

Look up the calculated formation energy of the first one.
0.28 eV per atom